Here is crystalline YCrI2N at its relaxed geometry from the Alexandria database. Energies are from PBE.

The calculation puts the uncorrected formation energy at 165 meV per atom. The calculation puts the density of states at the Fermi level at 1.07 states/eV per atom.

The space group is P4/mmm (No. 123) and the conventional cell measures 6.168, 6.168 and 4.117 Å, with angles of 90.00, 90.00 and 90.00 degrees. The inequivalent atoms are Y at (0.000, 0.000, 0.000), Cr at (0.500, 0.500, 0.500), I at (0.000, 0.500, 0.000) and N at (0.000, 0.000, 0.500).

***

Here is crystalline Li3ZnAg2 at its relaxed geometry from the Alexandria database. Energies are from PBE.

The value obtained for the formation energy is -0.18 eV/atom. The calculation puts the density of states at the Fermi level at 0.25 states/eV per atom.

The space group is C2/c (No. 15) and the conventional cell measures 5.849, 7.376 and 9.344 Å, with angles of 90.00, 107.76 and 90.00 degrees. The inequivalent atoms are Li at (0.000, 0.125, 0.250), Li at (0.172, 0.125, 0.593), Zn at (0.000, 0.374, 0.750) and Ag at (0.169, 0.375, 0.088).

***

Here is crystalline AlZn at its relaxed geometry from the Alexandria database. Energies are from PBE.

The value obtained for the formation energy is 0.06 eV/atom. The calculation puts the density of states at the Fermi level at 0.29 states/eV per atom.

The space group is P-6m2 (No. 187) and the conventional cell measures 2.8221, 2.8221 and 4.6529 Å, with angles of 90.00, 90.00 and 120.00 degrees. The inequivalent atoms are Al at (0.0000, 0.0000, 0.0000) and Zn at (0.6667, 0.3333, 0.5000).